# MnSb2Pb (PBE-GGA, relaxed)
# - magnetic moment (Bohr magnetons per cell) = 17.05
# - density of states at the Fermi level (states/eV per atom) = 0.59
# - formation energy without anion corrections (eV/f.u.) = 1.75
data_MnSb2Pb
_chemical_formula_sum 'Mn4 Sb8 Pb4'
_space_group_name_H-M_alt 'F -4 3 m'
_space_group_IT_number 216
_space_group_name_Hall 'F -4 2 3'
_cell_length_a 7.464
_cell_length_b 7.464
_cell_length_c 7.464
_cell_angle_alpha 90.00
_cell_angle_beta 90.00
_cell_angle_gamma 90.00
loop_
_atom_site_label
_atom_site_type_symbol
_atom_site_fract_x
_atom_site_fract_y
_atom_site_fract_z
Mn1 Mn 0.000 0.000 0.000
Sb1 Sb 0.000 0.000 0.500
Sb2 Sb 0.250 0.250 0.250
Pb1 Pb 0.250 0.250 0.750